# BeTlC3

Crystalline BeTlC3 at its relaxed geometry (GGA-PBE, the Alexandria database).

Mass density = 4868 kg/m³
ΔE_f = 3.88 eV per atom
DOS(E_F) = 4.43 states/eV per cell
Total moment = 0.269 μB per atom
Offset from the most stable computed form = 1.4082 eV per atom
Electronic total energy = -2.87 eV/atom

a = 4.3984 Å, b = 4.3984 Å, c = 4.3984 Å
α = 90.00°, β = 90.00°, γ = 90.00°
Sites, in units of the cell vectors:
Be: 0.0000 0.0000 0.0000
Tl: 0.5000 0.5000 0.5000
C: 0.0000 0.5000 0.5000
C: 0.5000 0.0000 0.5000
C: 0.5000 0.5000 0.0000

***

# La2Hg

Crystalline La2Hg at its relaxed geometry (GGA-PBE, the Alexandria database).

Mass density = 8786 kg/m³
ΔE_f = -0.26 eV per atom
DOS(E_F) = 2.60 states/eV per cell
Total moment = 0.000 μB per atom
Electronic total energy = -3.64 eV/atom

a = 5.2149 Å, b = 5.2149 Å, c = 3.8388 Å
α = 90.00°, β = 90.00°, γ = 120.00°
Sites, in units of the cell vectors:
La: 0.3333 0.6667 0.3287
La: 0.6667 0.3333 0.6713
Hg: 0.0000 0.0000 0.0000

***

# Sb2Pd3Pb

Crystalline Sb2Pd3Pb at its relaxed geometry (GGA-PBE, the Alexandria database).

Mass density = 9341 kg/m³
DOS(E_F) = 5.97 states/eV per cell
Formation energy (no corrections) = -1.67 eV per formula unit
Total moment = 0.000 μB per atom
Offset from the most stable computed form = 0.0000 eV per atom
Electronic total energy = -4.87 eV/atom

a = 8.6995 Å, b = 8.6995 Å, c = 8.7592 Å
α = 114.54°, β = 114.54°, γ = 27.18°
Sites, in units of the cell vectors:
Sb: 0.0308 0.0308 0.1945
Sb: 0.2981 0.2981 0.3200
Sb: 0.7019 0.7019 0.6800
Sb: 0.9692 0.9692 0.8055
Pd: 0.0892 0.0892 0.6758
Pd: 0.1843 0.1843 0.4616
Pd: 0.4528 0.4528 0.5989
Pd: 0.5472 0.5472 0.4011
Pd: 0.8157 0.8157 0.5384
Pd: 0.9108 0.9108 0.3242
Pb: 0.3593 0.3593 0.0325
Pb: 0.6407 0.6407 0.9675

***

# YTiAs2Rh5

Crystalline YTiAs2Rh5 at its relaxed geometry (GGA-PBE, the Alexandria database).

Mass density = 7699 kg/m³
ΔE_f = -0.34 eV per atom
DOS(E_F) = 7.13 states/eV per cell
Total moment = 0.000 μB per atom
Electronic total energy = -7.05 eV/atom

a = 4.0258 Å, b = 4.0258 Å, c = 10.6620 Å
α = 90.00°, β = 90.00°, γ = 90.00°
Sites, in units of the cell vectors:
Y: 0.0000 0.0000 0.0000
Ti: 0.5000 0.5000 0.5000
As: 0.5000 0.5000 0.2217
As: 0.5000 0.5000 0.7783
Rh: 0.0000 0.5000 0.3524
Rh: 0.0000 0.5000 0.6476
Rh: 0.5000 0.0000 0.3524
Rh: 0.5000 0.0000 0.6476
Rh: 0.5000 0.5000 0.0000